Entry 1:
The following is a DFT calculation (PBE) of crystalline Ba8Sr4Ac at its relaxed geometry.

a = 9.6202 Å, b = 9.6202 Å, c = 9.6202 Å
α = 90.00°, β = 90.00°, γ = 90.00°
With the nearest neighbours (Å) after each atom.
Sites, in units of the cell vectors:
Ba: 0.2498 0.2498 0.2498  4 Sr 4.16-4.17, 1 Ac 4.17
Ba: 0.2498 0.2498 0.7502  4 Sr 4.16-4.17, 1 Ac 4.17
Ba: 0.2498 0.7502 0.2498  4 Sr 4.16-4.17, 1 Ac 4.17
Ba: 0.2498 0.7502 0.7502  4 Sr 4.16-4.17, 1 Ac 4.17
Ba: 0.7502 0.2498 0.2498  4 Sr 4.16-4.17, 1 Ac 4.17
Ba: 0.7502 0.2498 0.7502  4 Sr 4.16-4.17, 1 Ac 4.17
Ba: 0.7502 0.7502 0.2498  4 Sr 4.16-4.17, 1 Ac 4.17
Ba: 0.7502 0.7502 0.7502  4 Sr 4.16-4.17, 1 Ac 4.17
Sr: 0.0000 0.0000 0.0000  8 Ba 4.16
Sr: 0.0000 0.5000 0.5000  8 Ba 4.17
Sr: 0.5000 0.0000 0.5000  8 Ba 4.17
Sr: 0.5000 0.5000 0.0000  8 Ba 4.17
Ac: 0.5000 0.5000 0.5000  8 Ba 4.17

Results
Energy relative to the elements: 0.27 eV/atom
SG: Pm-3m, No. 221

Entry 2:
The following is a DFT calculation (PBE) of crystalline Tb4Hg2B at its relaxed geometry.

a = 8.3441 Å, b = 8.3441 Å, c = 8.3441 Å
α = 145.10°, β = 145.10°, γ = 50.19°
With the nearest neighbours (Å) after each atom.
Sites, in units of the cell vectors:
Tb: 0.0000 0.5000 0.5000  2 B 2.50
Tb: 0.1729 0.1729 0.0000  1 B 2.61
Tb: 0.5000 0.0000 0.5000  2 B 2.50
Tb: 0.8271 0.8271 0.0000  1 B 2.61
Hg: 0.3703 0.3703 0.0000  5 Tb 2.98-3.18
Hg: 0.6297 0.6297 0.0000  5 Tb 2.98-3.18
B: 0.0000 0.0000 0.0000  6 Tb 2.50-2.61

Results
Energy relative to the elements: -0.20 eV/atom
SG: I4/mmm, No. 139

Entry 3:
The following is a DFT calculation (PBE) of crystalline NiSb3Ir at its relaxed geometry.

a = 4.8330 Å, b = 4.8330 Å, c = 4.8330 Å
α = 90.00°, β = 90.00°, γ = 90.00°
With the nearest neighbours (Å) after each atom.
Sites, in units of the cell vectors:
Ni: 0.0000 0.0000 0.0000  6 Sb 2.42
Sb: 0.0000 0.0000 0.5000  2 Ni 2.42
Sb: 0.0000 0.5000 0.0000  2 Ni 2.42
Sb: 0.5000 0.0000 0.0000  2 Ni 2.42
Ir: 0.5000 0.5000 0.5000  12 Sb 3.42

Results
Energy above the lowest structure with this stoichiometry: 0.0 meV/atom
Energy relative to the elements, uncorrected: 704 meV/atom
SG: Pm-3m, No. 221

Entry 4:
The following is a DFT calculation (PBE) of crystalline HfTlPd2 at its relaxed geometry.

a = 3.4126 Å, b = 3.4126 Å, c = 6.6304 Å
α = 90.00°, β = 90.00°, γ = 90.00°
With the nearest neighbours (Å) after each atom.
Sites, in units of the cell vectors:
Hf: 0.0000 0.0000 0.0000  8 Pd 2.80
Tl: 0.0000 0.0000 0.5000  8 Pd 3.07, 2 Hf 3.32, 4 Tl 3.41
Pd: 0.5000 0.5000 0.2141  4 Hf 2.80, 1 Pd 2.84, 4 Tl 3.07
Pd: 0.5000 0.5000 0.7859  4 Hf 2.80, 1 Pd 2.84, 4 Tl 3.07

Results
Energy relative to the elements: -0.50 eV/atom
SG: P4/mmm, No. 123

Total moment in μB/f.u., matching the order above: 0.000, 0.000, 0.000, 0.000